Record 1
First-principles (GGA-PBE) data for a geometry-optimized TmBeNi2 structure, as listed in Alexandria.

Output
For the density of states at the Fermi level, the calculation gives 2.75 states/eV/cell. The calculation puts the formation enthalpy at 0 K at -51 meV per atom.

Lattice parameters (Å, degrees): 3.530 5.096 4.152 127.86 90.00 90.00
Fractional positions:
Ni 0.001 0.181 0.362
Be 0.500 0.000 0.000
Ni 0.999 0.819 0.638
Tm 0.500 0.500 0.000

Record 2
First-principles (GGA-PBE) data for a geometry-optimized TmBeNi11 structure, as listed in Alexandria.

Output
For the density of states at the Fermi level, the calculation gives 20.11 states/eV/cell. The calculation puts the formation enthalpy at 0 K at -192 meV per atom.

Lattice parameters (Å, degrees): 4.601 6.124 6.197 82.67 68.21 69.91
Fractional positions:
Ni 0.710 0.772 0.782
Ni 0.000 0.500 0.000
Ni 0.009 0.355 0.648
Ni 0.344 0.645 0.648
Tm 0.000 0.000 0.000
Ni 0.500 0.000 0.500
Ni 0.290 0.228 0.218
Ni 0.656 0.355 0.352
Be 0.500 0.500 0.000
Ni 0.493 0.772 0.218
Ni 0.991 0.645 0.352
Ni 0.000 0.000 0.500
Ni 0.507 0.228 0.782

Record 3
First-principles (GGA-PBE) data for a geometry-optimized TmBe2Ni2 structure, as listed in Alexandria.

Output
For the density of states at the Fermi level, the calculation gives 6.90 states/eV/cell. The calculation puts the formation enthalpy at 0 K at -357 meV per atom.

Lattice parameters (Å, degrees): 3.763 3.763 9.542 101.37 101.37 90.00
Fractional positions:
Ni 0.187 0.187 0.374
Tm 0.376 0.376 0.751
Be 0.250 0.750 0.500
Be 0.064 0.064 0.127
Ni 0.500 0.000 0.000
Ni 0.000 0.500 0.000
Be 0.936 0.936 0.873
Ni 0.813 0.813 0.626
Tm 0.624 0.624 0.249
Be 0.750 0.250 0.500

Record 4
First-principles (GGA-PBE) data for a geometry-optimized Tm2BeNi structure, as listed in Alexandria.

Output
For the density of states at the Fermi level, the calculation gives 2.59 states/eV/cell. The calculation puts the formation enthalpy at 0 K at -187 meV per atom.

Lattice parameters (Å, degrees): 4.725 4.725 4.725 60.00 60.00 60.00
Fractional positions:
Tm 0.750 0.750 0.750
Be 0.000 0.000 0.000
Tm 0.250 0.250 0.250
Ni 0.500 0.500 0.500

Record 5
First-principles (GGA-PBE) data for a geometry-optimized Tm2BeNi structure, as listed in Alexandria.

Output
For the density of states at the Fermi level, the calculation gives 2.73 states/eV/cell. The calculation puts the formation enthalpy at 0 K at 541 meV per atom.

Lattice parameters (Å, degrees): 3.764 3.764 9.035 77.98 77.98 60.00
Fractional positions:
Ni 0.500 0.500 0.500
Tm 0.110 0.110 0.669
Be 0.000 0.000 0.000
Tm 0.890 0.890 0.331

Record 6
First-principles (GGA-PBE) data for a geometry-optimized TmBe2Ni3 structure, as listed in Alexandria.

Output
For the density of states at the Fermi level, the calculation gives 12.92 states/eV/cell. The calculation puts the formation enthalpy at 0 K at -391 meV per atom.

Lattice parameters (Å, degrees): 3.618 8.406 8.406 120.00 90.00 90.00
Fractional positions:
Be 0.500 0.183 0.366
Ni 0.000 0.000 0.704
Tm 0.000 0.667 0.333
Ni 0.500 0.000 0.500
Ni 0.500 0.500 0.500
Be 0.500 0.366 0.183
Tm 0.500 0.000 0.000
Ni 0.000 0.704 0.000
Ni 0.000 0.000 0.296
Ni 0.000 0.296 0.296
Be 0.500 0.183 0.817
Ni 0.000 0.704 0.704
Be 0.500 0.634 0.817
Tm 0.000 0.333 0.667
Ni 0.500 0.500 0.000
Ni 0.000 0.296 0.000
Be 0.500 0.817 0.183
Be 0.500 0.817 0.634

Record 7
First-principles (GGA-PBE) data for a geometry-optimized TmBeNi2 structure, as listed in Alexandria.

Output
For the density of states at the Fermi level, the calculation gives 1.97 states/eV/cell. The calculation puts the formation enthalpy at 0 K at -405 meV per atom.

Lattice parameters (Å, degrees): 3.839 3.839 5.096 67.87 67.87 60.00
Fractional positions:
Ni 0.798 0.798 0.605
Ni 0.202 0.202 0.395
Tm 0.000 0.000 0.000
Be 0.500 0.500 0.500

Record 8
First-principles (GGA-PBE) data for a geometry-optimized YTmBeNi structure, as listed in Alexandria.

Output
For the density of states at the Fermi level, the calculation gives 2.84 states/eV/cell. The calculation puts the formation enthalpy at 0 K at -154 meV per atom.

Lattice parameters (Å, degrees): 4.772 4.772 4.772 60.00 60.00 60.00
Fractional positions:
Tm 0.500 0.500 0.500
Y 0.000 0.000 0.000
Be 0.250 0.250 0.250
Ni 0.750 0.750 0.750